7
Lattice="-4.4163 -3.2634 3.6727 -2.1483 -3.1586 -5.3899 2.0938 -9.0481 0.4193" Properties=species:S:1:pos:R:3 comment="K4Zn2Si GGA-PBE relaxed" m_tot_mub_per_fu=0.57 space_group="I4/mmm, No. 139" dft_energy_ev_per_cell=-9.98 pbc="T T T"
K -2.2081 -1.6317 1.8363
Zn -2.0742 -11.2975 -0.6498
Zn -2.3966 -4.1726 -0.6481
K -4.3972 -8.7752 -1.2020
K -0.0735 -6.6949 -0.0959
Si 0.0000 0.0000 0.0000
K -1.0742 -1.5793 -2.6949

***

5
Lattice="-1.9337 -2.9116 2.6064 -2.0142 -1.7494 -3.4486 2.0152 -5.5870 -1.0992" Properties=species:S:1:pos:R:3 comment="KZn2Si2 GGA-PBE relaxed" m_tot_mub_per_fu=0.00 space_group="I4/mmm, No. 139" dft_energy_ev_per_cell=-14.48 pbc="T T T"
Si -0.8826 -7.1633 -1.3632
Zn -0.9865 -4.8334 -2.4844
Zn -0.9462 -5.4145 0.5431
Si -1.0502 -3.0846 -0.5781
K 0.0000 0.0000 0.0000

***

5
Lattice="4.8870 0.0000 0.0000 0.0000 5.2303 0.0000 0.0000 0.0000 4.8870" Properties=species:S:1:pos:R:3 comment="KZrZn2Si GGA-PBE relaxed" m_tot_mub_per_fu=0.00 space_group="P4/mmm, No. 123" dft_energy_ev_per_cell=-10.28 pbc="T T T"
Si 0.0000 2.6151 0.0000
K 0.0000 0.0000 0.0000
Zr 2.4435 2.6151 2.4435
Zn 2.4435 0.0000 0.0000
Zn 0.0000 0.0000 2.4435

***

4
Lattice="-5.3425 1.6631 -2.3821 -0.2611 -2.9925 5.2876 -1.0662 2.1068 1.9852" Properties=species:S:1:pos:R:3 comment="KZr2Si GGA-PBE relaxed" m_tot_mub_per_fu=0.00 space_group="C2/m, No. 12" dft_energy_ev_per_cell=-21.25 pbc="T T T"
Si -0.6637 -0.4429 3.6364
K -3.2044 1.8849 -0.1984
Zr 0.0000 0.0000 0.0000
Zr -2.8018 -0.6647 1.4528

***

Here are the calculated calculated volume numbers, same order: 50.11, 19.75, 24.98, 22.91 (A^3/atom).